(1)
Density functional theory data (GGA-PBE) for a relaxed ZrTeRh4 crystal.

```
data_ZrTeRh4
_symmetry_space_group_name_H-M 'F -4 3 m'
_symmetry_Int_Tables_number 216
_symmetry_space_group_name_Hall 'F -4 2 3'
_cell_length_a 7.427
_cell_length_b 7.427
_cell_length_c 7.427
_cell_angle_alpha 90.00
_cell_angle_beta 90.00
_cell_angle_gamma 90.00
loop_
_atom_site_label
_atom_site_type_symbol
_atom_site_fract_x
_atom_site_fract_y
_atom_site_fract_z
_atom_site_occupancy
Zr1 Zr 0.000 0.000 0.000 1
Te1 Te 0.250 0.250 0.250 1
Rh1 Rh 0.125 0.125 0.625 1
```

Computed properties:
* energy relative to the elements, uncorrected: -0.216 eV/atom
* M_tot: 0.0 μB per formula unit
* calculated total energy: -7.07 eV/atom

(2)
Density functional theory data (GGA-PBE) for a relaxed ZrTeRh3 crystal.

```
data_ZrTeRh3
_symmetry_space_group_name_H-M 'P m -3 m'
_symmetry_Int_Tables_number 221
_symmetry_space_group_name_Hall '-P 4 2 3'
_cell_length_a 4.829
_cell_length_b 4.829
_cell_length_c 4.829
_cell_angle_alpha 90.00
_cell_angle_beta 90.00
_cell_angle_gamma 90.00
loop_
_atom_site_label
_atom_site_type_symbol
_atom_site_fract_x
_atom_site_fract_y
_atom_site_fract_z
_atom_site_occupancy
Zr1 Zr 0.000 0.000 0.000 1
Te1 Te 0.500 0.500 0.500 1
Rh1 Rh 0.000 0.000 0.500 1
```

Computed properties:
* energy relative to the elements, uncorrected: 0.745 eV/atom
* M_tot: 0.0 μB per formula unit
* calculated total energy: -6.00 eV/atom
* offset from the most stable computed form: 0.1929 eV per atom

(3)
Density functional theory data (GGA-PBE) for a relaxed ZrTeRh crystal.

```
data_ZrTeRh
_symmetry_space_group_name_H-M 'P 3 m 1'
_symmetry_Int_Tables_number 156
_cell_length_a 4.3897
_cell_length_b 4.3897
_cell_length_c 3.6240
_cell_angle_alpha 90.00
_cell_angle_beta 90.00
_cell_angle_gamma 120.00
loop_
_symmetry_equiv_pos_as_xyz
'x,y,z'
'-y,x-y,z'
'-x+y,-x,z'
'-y,-x,z'
'-x+y,y,z'
'x,x-y,z'
loop_
_atom_site_label
_atom_site_type_symbol
_atom_site_fract_x
_atom_site_fract_y
_atom_site_fract_z
_atom_site_occupancy
Zr1 Zr 0.0000 0.0000 0.0000 1
Te1 Te 0.6667 0.3333 0.5240 1
Rh1 Rh 0.3333 0.6667 0.4239 1
```

Computed properties:
* energy relative to the elements, uncorrected: -0.615 eV/atom
* M_tot: 0.0 μB per formula unit
* calculated total energy: -6.96 eV/atom

(4)
Density functional theory data (GGA-PBE) for a relaxed Zr2Te4Rh crystal.

```
data_Zr2Te4Rh
_symmetry_space_group_name_H-M 'C 1 2/m 1'
_symmetry_Int_Tables_number 12
_cell_length_a 14.739
_cell_length_b 3.985
_cell_length_c 6.789
_cell_angle_alpha 90.00
_cell_angle_beta 116.57
_cell_angle_gamma 90.00
loop_
_symmetry_equiv_pos_as_xyz
'x,y,z'
'-x,-y,-z'
'-x,y,-z'
'x,-y,z'
'x+1/2,y+1/2,z'
'-x+1/2,-y+1/2,-z'
'-x+1/2,y+1/2,-z'
'x+1/2,-y+1/2,z'
loop_
_atom_site_label
_atom_site_type_symbol
_atom_site_fract_x
_atom_site_fract_y
_atom_site_fract_z
_atom_site_occupancy
Zr1 Zr 0.249 0.000 0.238 1
Te1 Te 0.109 0.500 0.951 1
Te2 Te 0.114 0.000 0.448 1
Rh1 Rh 0.000 0.500 0.500 1
```

Computed properties:
* energy relative to the elements, uncorrected: -0.754 eV/atom
* M_tot: 0.0 μB per formula unit
* calculated total energy: -6.04 eV/atom

(5)
Density functional theory data (GGA-PBE) for a relaxed ZrTeRh crystal.

```
data_ZrTeRh
_symmetry_space_group_name_H-M 'C 1 2/m 1'
_symmetry_Int_Tables_number 12
_cell_length_a 8.749
_cell_length_b 4.258
_cell_length_c 8.777
_cell_angle_alpha 90.00
_cell_angle_beta 108.87
_cell_angle_gamma 90.00
loop_
_symmetry_equiv_pos_as_xyz
'x,y,z'
'-x,-y,-z'
'-x,y,-z'
'x,-y,z'
'x+1/2,y+1/2,z'
'-x+1/2,-y+1/2,-z'
'-x+1/2,y+1/2,-z'
'x+1/2,-y+1/2,z'
loop_
_atom_site_label
_atom_site_type_symbol
_atom_site_fract_x
_atom_site_fract_y
_atom_site_fract_z
_atom_site_occupancy
Zr1 Zr 0.109 0.000 0.406 1
Te1 Te 0.210 0.500 0.196 1
Rh1 Rh 0.116 0.500 0.642 1
```

Computed properties:
* energy relative to the elements, uncorrected: -0.663 eV/atom
* M_tot: 0.0 μB per formula unit
* calculated total energy: -7.01 eV/atom

(6)
Density functional theory data (GGA-PBE) for a relaxed Th2Rh3 crystal.

```
data_Th2Rh3
_symmetry_space_group_name_H-M 'R -3 m'
_symmetry_Int_Tables_number 166
_symmetry_space_group_name_Hall '-R 3 2"'
_cell_length_a 4.3039
_cell_length_b 4.3039
_cell_length_c 21.1788
_cell_angle_alpha 90.00
_cell_angle_beta 90.00
_cell_angle_gamma 120.00
loop_
_atom_site_label
_atom_site_type_symbol
_atom_site_fract_x
_atom_site_fract_y
_atom_site_fract_z
_atom_site_occupancy
Th1 Th 0.0000 0.0000 0.0920 1
Rh1 Rh 0.0000 0.0000 0.3622 1
Rh2 Rh 0.0000 0.0000 0.5000 1
```

Computed properties:
* M_tot: 0.0 μB per formula unit
* calculated total energy: -8.11 eV/atom

(7)
Density functional theory data (GGA-PBE) for a relaxed Th3Rh crystal.

```
data_Th3Rh
_symmetry_space_group_name_H-M 'P m m 2'
_symmetry_Int_Tables_number 25
_cell_length_a 3.541
_cell_length_b 3.604
_cell_length_c 9.338
_cell_angle_alpha 90.00
_cell_angle_beta 90.00
_cell_angle_gamma 90.00
loop_
_symmetry_equiv_pos_as_xyz
'x,y,z'
'-x,-y,z'
'-x,y,z'
'x,-y,z'
loop_
_atom_site_label
_atom_site_type_symbol
_atom_site_fract_x
_atom_site_fract_y
_atom_site_fract_z
_atom_site_occupancy
Th1 Th 0.000 0.000 0.000 1
Th2 Th 0.000 0.500 0.330 1
Th3 Th 0.500 0.500 0.724 1
Rh1 Rh 0.500 0.000 0.485 1
```

Computed properties:
* M_tot: 0.0 μB per formula unit
* calculated total energy: -7.55 eV/atom

(8)
Density functional theory data (GGA-PBE) for a relaxed Th3Rh8 crystal.

```
data_Th3Rh8
_symmetry_space_group_name_H-M 'P -1'
_symmetry_Int_Tables_number 2
_cell_length_a 5.332
_cell_length_b 6.328
_cell_length_c 6.912
_cell_angle_alpha 107.96
_cell_angle_beta 106.80
_cell_angle_gamma 94.33
loop_
_symmetry_equiv_pos_as_xyz
'x,y,z'
'-x,-y,-z'
loop_
_atom_site_label
_atom_site_type_symbol
_atom_site_fract_x
_atom_site_fract_y
_atom_site_fract_z
_atom_site_occupancy
Th1 Th 0.000 0.000 0.000 1
Th2 Th 0.000 0.000 0.500 1
Th3 Th 0.500 0.500 0.000 1
Rh1 Rh 0.137 0.593 0.226 1
Rh2 Rh 0.187 0.658 0.666 1
Rh3 Rh 0.356 0.292 0.446 1
Rh4 Rh 0.492 0.934 0.178 1
```

Computed properties:
* M_tot: 0.0 μB per formula unit
* calculated total energy: -7.90 eV/atom

(9)
Density functional theory data (GGA-PBE) for a relaxed Th3Rh crystal.

```
data_Th3Rh
_symmetry_space_group_name_H-M 'I 4/m m m'
_symmetry_Int_Tables_number 139
_symmetry_space_group_name_Hall '-I 4 2'
_cell_length_a 4.529
_cell_length_b 4.529
_cell_length_c 10.535
_cell_angle_alpha 90.00
_cell_angle_beta 90.00
_cell_angle_gamma 90.00
loop_
_atom_site_label
_atom_site_type_symbol
_atom_site_fract_x
_atom_site_fract_y
_atom_site_fract_z
_atom_site_occupancy
Th1 Th 0.000 0.000 0.000 1
Th2 Th 0.000 0.500 0.250 1
Rh1 Rh 0.000 0.000 0.500 1
```

Computed properties:
* M_tot: 0.0 μB per formula unit
* calculated total energy: -7.46 eV/atom

(10)
Density functional theory data (GGA-PBE) for a relaxed Th3Rh crystal.

```
data_Th3Rh
_symmetry_space_group_name_H-M 'I m m 2'
_symmetry_Int_Tables_number 44
_cell_length_a 3.658
_cell_length_b 10.373
_cell_length_c 5.983
_cell_angle_alpha 90.00
_cell_angle_beta 90.00
_cell_angle_gamma 90.00
loop_
_symmetry_equiv_pos_as_xyz
'x,y,z'
'-x,-y,z'
'-x,y,z'
'x,-y,z'
'x+1/2,y+1/2,z+1/2'
'-x+1/2,-y+1/2,z+1/2'
'-x+1/2,y+1/2,z+1/2'
'x+1/2,-y+1/2,z+1/2'
loop_
_atom_site_label
_atom_site_type_symbol
_atom_site_fract_x
_atom_site_fract_y
_atom_site_fract_z
_atom_site_occupancy
Th1 Th 0.000 0.000 0.000 1
Th2 Th 0.000 0.199 0.538 1
Rh1 Rh 0.000 0.500 0.872 1
```

Computed properties:
* M_tot: 0.0 μB per formula unit
* calculated total energy: -7.78 eV/atom

(11)
Density functional theory data (GGA-PBE) for a relaxed Th7Rh3 crystal.

```
data_Th7Rh3
_symmetry_space_group_name_H-M 'P 63 m c'
_symmetry_Int_Tables_number 186
_symmetry_space_group_name_Hall 'P 6c -2c'
_cell_length_a 10.0397
_cell_length_b 10.0397
_cell_length_c 6.2917
_cell_angle_alpha 90.00
_cell_angle_beta 90.00
_cell_angle_gamma 120.00
loop_
_atom_site_label
_atom_site_type_symbol
_atom_site_fract_x
_atom_site_fract_y
_atom_site_fract_z
_atom_site_occupancy
Th1 Th 0.0851 0.5425 0.0000 1
Th2 Th 0.1280 0.2560 0.7064 1
Th3 Th 0.3333 0.6667 0.5259 1
Rh1 Rh 0.1860 0.3719 0.2592 1
```

Computed properties:
* M_tot: 0.0 μB per formula unit
* calculated total energy: -7.98 eV/atom

(12)
Density functional theory data (GGA-PBE) for a relaxed Th3TiRh12 crystal.

```
data_Th3TiRh12
_symmetry_space_group_name_H-M 'P 4/m m m'
_symmetry_Int_Tables_number 123
_symmetry_space_group_name_Hall '-P 4 2'
_cell_length_a 4.069
_cell_length_b 4.069
_cell_length_c 16.248
_cell_angle_alpha 90.00
_cell_angle_beta 90.00
_cell_angle_gamma 90.00
loop_
_atom_site_label
_atom_site_type_symbol
_atom_site_fract_x
_atom_site_fract_y
_atom_site_fract_z
_atom_site_occupancy
Th1 Th 0.000 0.000 0.000 1
Th2 Th 0.000 0.000 0.258 1
Ti1 Ti 0.000 0.000 0.500 1
Rh1 Rh 0.000 0.500 0.129 1
Rh2 Rh 0.000 0.500 0.391 1
Rh3 Rh 0.500 0.500 0.000 1
Rh4 Rh 0.500 0.500 0.260 1
Rh5 Rh 0.500 0.500 0.500 1
```

Computed properties:
* M_tot: 0.0 μB per formula unit
* calculated total energy: -8.08 eV/atom

(13)
Density functional theory data (GGA-PBE) for a relaxed ThTi2Rh crystal.

```
data_ThTi2Rh
_symmetry_space_group_name_H-M 'P 4/m m m'
_symmetry_Int_Tables_number 123
_symmetry_space_group_name_Hall '-P 4 2'
_cell_length_a 3.226
_cell_length_b 3.226
_cell_length_c 7.544
_cell_angle_alpha 90.00
_cell_angle_beta 90.00
_cell_angle_gamma 90.00
loop_
_atom_site_label
_atom_site_type_symbol
_atom_site_fract_x
_atom_site_fract_y
_atom_site_fract_z
_atom_site_occupancy
Th1 Th 0.000 0.000 0.000 1
Ti1 Ti 0.500 0.500 0.308 1
Rh1 Rh 0.000 0.000 0.500 1
```

Computed properties:
* M_tot: 0.0 μB per formula unit
* calculated total energy: -7.89 eV/atom

(14)
Density functional theory data (GGA-PBE) for a relaxed ThTlRh2 crystal.

```
data_ThTlRh2
_symmetry_space_group_name_H-M 'P 4/m m m'
_symmetry_Int_Tables_number 123
_symmetry_space_group_name_Hall '-P 4 2'
_cell_length_a 4.617
_cell_length_b 4.617
_cell_length_c 3.826
_cell_angle_alpha 90.00
_cell_angle_beta 90.00
_cell_angle_gamma 90.00
loop_
_atom_site_label
_atom_site_type_symbol
_atom_site_fract_x
_atom_site_fract_y
_atom_site_fract_z
_atom_site_occupancy
Th1 Th 0.000 0.000 0.000 1
Tl1 Tl 0.500 0.500 0.000 1
Rh1 Rh 0.000 0.500 0.500 1
```

Computed properties:
* M_tot: 0.0 μB per formula unit
* calculated total energy: -6.62 eV/atom